Material: CaNd2Pt
Method: DFT, PBE-GGA
State: relaxed

Offset from the most stable computed form = 78 meV/atom
N(E_F) = 1.2037 states/eV per atom
Calculated formation energy = -1.98 eV/f.u.

abc: 4.1442 4.1442 9.9456
angles: 77.97 77.97 60.00
Fractional positions:
Pt (0.0000, 0.0000, 0.0000)
Nd (0.2776, 0.2776, 0.1672)
Nd (0.7224, 0.7224, 0.8328)
Ca (0.5000, 0.5000, 0.5000)

Material: CaNdPt2
Method: DFT, PBE-GGA
State: relaxed

Offset from the most stable computed form = 36 meV/atom
N(E_F) = 0.3801 states/eV per atom
Calculated formation energy = -4.02 eV/f.u.

abc: 5.0192 5.0192 5.0192
angles: 60.00 60.00 60.00
Fractional positions:
Pt (0.2500, 0.2500, 0.2500)
Pt (0.7500, 0.7500, 0.7500)
Ca (0.5000, 0.5000, 0.5000)
Nd (0.0000, 0.0000, 0.0000)

Material: Ca2NdPt9
Method: DFT, PBE-GGA
State: relaxed

N(E_F) = 0.7538 states/eV per atom
Calculated formation energy = -9.98 eV/f.u.

abc: 5.4296 5.4296 9.4246
angles: 73.26 73.26 60.00
Fractional positions:
Ca (0.1420, 0.1420, 0.5739)
Ca (0.8580, 0.8580, 0.4261)
Pt (0.4142, 0.4142, 0.2531)
Pt (0.5858, 0.0815, 0.7469)
Pt (0.5000, 0.5000, 0.5000)
Pt (0.4142, 0.9185, 0.2531)
Pt (0.6672, 0.6672, 0.9985)
Pt (0.5858, 0.5858, 0.7469)
Pt (0.0815, 0.5858, 0.7469)
Pt (0.3328, 0.3328, 0.0015)
Pt (0.9185, 0.4142, 0.2531)
Nd (0.0000, 0.0000, 0.0000)

Material: CaNdPt2
Method: DFT, PBE-GGA
State: relaxed

Offset from the most stable computed form = 31 meV/atom
N(E_F) = 0.2238 states/eV per atom
Calculated formation energy = -4.04 eV/f.u.

abc: 3.5647 3.5647 7.0851
angles: 90.00 90.00 90.00
Fractional positions:
Nd (0.5000, 0.5000, 0.5000)
Ca (0.5000, 0.5000, 0.0000)
Pt (0.0000, 0.0000, 0.7440)
Pt (0.0000, 0.0000, 0.2560)

Material: CaNd4Pt2
Method: DFT, PBE-GGA
State: relaxed

Offset from the most stable computed form = 0 meV/atom
N(E_F) = 1.2259 states/eV per atom
Calculated formation energy = -4.15 eV/f.u.

abc: 6.7315 8.0917 8.1916
angles: 111.71 90.00 90.00
Fractional positions:
Ca (0.2500, 0.8409, 0.9813)
Ca (0.7500, 0.1591, 0.0187)
Nd (0.7500, 0.7528, 0.6627)
Nd (0.5036, 0.4079, 0.7567)
Nd (0.9964, 0.4079, 0.7567)
Nd (0.7500, 0.0164, 0.3790)
Nd (0.2500, 0.2472, 0.3373)
Nd (0.0036, 0.5921, 0.2433)
Nd (0.2500, 0.9836, 0.6210)
Nd (0.4964, 0.5921, 0.2433)
Pt (0.7500, 0.3780, 0.4103)
Pt (0.2500, 0.6220, 0.5897)
Pt (0.2500, 0.2820, 0.9935)
Pt (0.7500, 0.7180, 0.0065)

Material: CaNd3Pt
Method: DFT, PBE-GGA
State: relaxed

Offset from the most stable computed form = 0 meV/atom
N(E_F) = 1.0960 states/eV per atom
Calculated formation energy = -2.01 eV/f.u.

abc: 7.4544 8.3678 10.6760
angles: 107.28 90.00 90.00
Fractional positions:
Ca (0.0394, 0.3074, 0.7395)
Ca (0.5394, 0.6926, 0.7605)
Ca (0.4606, 0.3074, 0.2395)
Ca (0.9606, 0.6926, 0.2605)
Nd (0.2908, 0.5682, 0.0247)
Nd (0.4911, 0.7787, 0.3732)
Nd (0.5089, 0.2213, 0.6268)
Nd (0.1314, 0.0887, 0.3916)
Nd (0.9911, 0.2213, 0.1268)
Nd (0.7092, 0.4318, 0.9753)
Nd (0.2092, 0.5682, 0.5247)
Nd (0.7908, 0.4318, 0.4753)
Nd (0.6314, 0.9113, 0.1084)
Nd (0.8686, 0.9113, 0.6084)
Nd (0.3686, 0.0887, 0.8916)
Nd (0.0089, 0.7787, 0.8732)
Pt (0.2351, 0.9392, 0.1042)
Pt (0.2649, 0.9392, 0.6042)
Pt (0.7649, 0.0608, 0.8958)
Pt (0.7351, 0.0608, 0.3958)

Material: Ca3Nd3Pt4
Method: DFT, PBE-GGA
State: relaxed

N(E_F) = 0.6144 states/eV per atom
Calculated formation energy = -9.20 eV/f.u.

abc: 4.0798 7.9256 7.9256
angles: 90.81 90.00 90.00
Fractional positions:
Nd (0.5000, 0.6600, 0.6600)
Nd (0.5000, 0.8428, 0.1572)
Nd (0.5000, 0.3400, 0.3400)
Pt (0.0000, 0.8573, 0.8675)
Pt (0.0000, 0.6394, 0.3606)
Pt (0.0000, 0.1325, 0.1427)
Pt (0.0000, 0.3697, 0.6303)
Ca (0.0000, 0.4943, 0.9969)
Ca (0.0000, 0.0031, 0.5057)
Ca (0.5000, 0.1609, 0.8391)

Material: Ca3NdPt8
Method: DFT, PBE-GGA
State: relaxed

N(E_F) = 0.9121 states/eV per atom
Calculated formation energy = -11.79 eV/f.u.

abc: 5.4801 5.4801 9.4488
angles: 73.14 73.14 60.00
Fractional positions:
Pt (0.6876, 0.6876, 0.9371)
Pt (0.4381, 0.9375, 0.6869)
Pt (0.9375, 0.4381, 0.6869)
Pt (0.1873, 0.1873, 0.4382)
Pt (0.4380, 0.9362, 0.1879)
Pt (0.9375, 0.9375, 0.6869)
Pt (0.9362, 0.4380, 0.1879)
Pt (0.4380, 0.4380, 0.1879)
Ca (0.4972, 0.4972, 0.5085)
Ca (0.0026, 0.0026, 0.9921)
Ca (0.3741, 0.3741, 0.8778)
Nd (0.8760, 0.8760, 0.3719)

Material: CaNd4Pt4
Method: DFT, PBE-GGA
State: relaxed

N(E_F) = 0.6811 states/eV per atom
Calculated formation energy = -8.49 eV/f.u.

abc: 5.8635 9.4289 9.4289
angles: 90.00 90.00 90.00
Fractional positions:
Pt (0.5024, 0.2038, 0.6062)
Pt (0.0024, 0.1062, 0.2962)
Pt (0.0024, 0.8938, 0.7038)
Pt (0.9976, 0.2962, 0.8938)
Pt (0.5024, 0.7962, 0.3938)
Pt (0.4976, 0.3938, 0.2038)
Pt (0.4976, 0.6062, 0.7962)
Pt (0.9976, 0.7038, 0.1062)
Nd (0.5025, 0.8976, 0.6818)
Nd (0.0025, 0.8182, 0.3976)
Nd (0.5025, 0.1024, 0.3182)
Nd (0.4975, 0.6818, 0.1024)
Nd (0.0025, 0.1818, 0.6024)
Nd (0.9975, 0.6024, 0.8182)
Nd (0.9975, 0.3976, 0.1818)
Nd (0.4975, 0.3182, 0.8976)
Ca (0.5000, 0.5000, 0.5000)
Ca (0.0000, 0.0000, 0.0000)

Material: CaNdPt
Method: DFT, PBE-GGA
State: relaxed

Offset from the most stable computed form = 1 meV/atom
N(E_F) = 0.8389 states/eV per atom
Calculated formation energy = -2.26 eV/f.u.

abc: 3.9690 6.6203 7.4161
angles: 72.91 74.48 72.56
Fractional positions:
Nd (0.9922, 0.4323, 0.5833)
Nd (0.5960, 0.9229, 0.8851)
Pt (0.0438, 0.7223, 0.1902)
Pt (0.2983, 0.5906, 0.8128)
Ca (0.3398, 0.9015, 0.4188)
Ca (0.7532, 0.3702, 0.1233)

Material: Ca2Nd2Pt3
Method: DFT, PBE-GGA
State: relaxed

Offset from the most stable computed form = 16 meV/atom
N(E_F) = 0.7224 states/eV per atom
Calculated formation energy = -6.30 eV/f.u.

abc: 5.0021 5.0125 8.7164
angles: 90.05 106.76 119.93
Fractional positions:
Pt (0.5136, 0.7567, 0.2698)
Pt (0.0000, 0.0000, 0.0000)
Pt (0.4864, 0.2433, 0.7302)
Nd (0.7565, 0.8783, 0.6357)
Nd (0.2435, 0.1217, 0.3643)
Ca (0.7415, 0.3709, 0.1117)
Ca (0.2585, 0.6291, 0.8883)

Material: CaNd3Pt
Method: DFT, PBE-GGA
State: relaxed

Offset from the most stable computed form = 87 meV/atom
N(E_F) = 2.0206 states/eV per atom
Calculated formation energy = -1.57 eV/f.u.

abc: 5.7162 5.7162 5.7162
angles: 90.00 90.00 90.00
Each line ends with the local moment (μB).
Fractional positions:
Nd (0.0000, 0.5000, 0.0000)  0.07
Nd (0.0000, 0.0000, 0.5000)  0.07
Nd (0.5000, 0.0000, 0.0000)  0.07
Ca (0.5000, 0.5000, 0.5000)  0.02
Pt (0.0000, 0.0000, 0.0000)  0.02

Material: Ca3NdPt4
Method: DFT, PBE-GGA
State: relaxed

N(E_F) = 0.2900 states/eV per atom
Calculated formation energy = -7.62 eV/f.u.

abc: 4.9656 7.0990 9.9258
angles: 90.00 90.00 90.00
Fractional positions:
Ca (0.0000, 0.0000, 0.0000)
Ca (0.5002, 0.5000, 0.2500)
Ca (0.0000, 0.0000, 0.5000)
Ca (0.4999, 0.0000, 0.7500)
Ca (0.5001, 0.0000, 0.2500)
Ca (0.4998, 0.5000, 0.7500)
Pt (0.5000, 0.2525, 0.0000)
Pt (0.9998, 0.2524, 0.7500)
Pt (0.5000, 0.7475, 0.5000)
Pt (0.9998, 0.7476, 0.7500)
Pt (0.5000, 0.7475, 0.0000)
Pt (0.5000, 0.2525, 0.5000)
Pt (0.0002, 0.2524, 0.2500)
Pt (0.0002, 0.7476, 0.2500)
Nd (0.0000, 0.5000, 0.5000)
Nd (0.0000, 0.5000, 0.0000)

Material: Ca2Nd2Pt3
Method: DFT, PBE-GGA
State: relaxed

Offset from the most stable computed form = 0 meV/atom
N(E_F) = 0.3797 states/eV per atom
Calculated formation energy = -6.41 eV/f.u.

abc: 4.4326 7.8144 5.8950
angles: 98.85 90.00 106.47
Fractional positions:
Pt (0.0000, 0.0000, 0.0000)
Pt (0.7694, 0.5384, 0.1705)
Pt (0.2306, 0.4616, 0.8295)
Ca (0.4097, 0.8195, 0.1926)
Ca (0.5903, 0.1805, 0.8074)
Nd (0.1659, 0.3311, 0.3200)
Nd (0.8341, 0.6689, 0.6800)

Material: CaNd2Pt
Method: DFT, PBE-GGA
State: relaxed

Offset from the most stable computed form = 82 meV/atom
N(E_F) = 1.2449 states/eV per atom
Calculated formation energy = -1.96 eV/f.u.

abc: 3.6535 3.6535 9.5923
angles: 90.00 90.00 90.00
Fractional positions:
Ca (0.5000, 0.5000, 0.5000)
Pt (0.5000, 0.5000, 0.0000)
Nd (0.0000, 0.0000, 0.1754)
Nd (0.0000, 0.0000, 0.8246)

Material: CaNd5Pt6
Method: DFT, PBE-GGA
State: relaxed

N(E_F) = 0.6647 states/eV per atom
Calculated formation energy = -12.51 eV/f.u.

abc: 5.0911 8.8031 8.8031
angles: 119.91 106.83 106.83
Fractional positions:
Pt (0.7417, 0.5703, 0.9142)
Pt (0.7665, 0.2661, 0.2661)
Pt (0.2335, 0.7339, 0.7339)
Pt (0.2583, 0.0858, 0.4297)
Pt (0.7417, 0.9142, 0.5703)
Pt (0.2583, 0.4297, 0.0858)
Nd (0.0000, 0.3311, 0.6689)
Nd (0.5000, 0.5000, 0.5000)
Nd (0.0000, 0.6689, 0.3311)
Nd (0.5000, 0.8411, 0.1589)
Nd (0.5000, 0.1589, 0.8411)
Ca (0.0000, 0.0000, 0.0000)

Material: CaNd2Pt
Method: DFT, PBE-GGA
State: relaxed

Offset from the most stable computed form = 0 meV/atom
N(E_F) = 1.1837 states/eV per atom
Calculated formation energy = -2.29 eV/f.u.

abc: 4.0846 6.6233 9.4318
angles: 90.00 90.00 107.96
Fractional positions:
Ca (0.0716, 0.1429, 0.7500)
Ca (0.9284, 0.8571, 0.2500)
Pt (0.7629, 0.5256, 0.7500)
Pt (0.2371, 0.4744, 0.2500)
Nd (0.6422, 0.2846, 0.0602)
Nd (0.6422, 0.2846, 0.4398)
Nd (0.3578, 0.7154, 0.9398)
Nd (0.3578, 0.7154, 0.5602)

Material: CaNdPt
Method: DFT, PBE-GGA
State: relaxed

Offset from the most stable computed form = 18 meV/atom
N(E_F) = 1.1289 states/eV per atom
Calculated formation energy = -2.20 eV/f.u.

abc: 4.9780 4.9780 4.9780
angles: 60.00 60.00 60.00
Fractional positions:
Pt (0.2500, 0.2500, 0.2500)
Nd (0.5000, 0.5000, 0.5000)
Ca (0.0000, 0.0000, 0.0000)

Material: CaNd3Pt2
Method: DFT, PBE-GGA
State: relaxed

Offset from the most stable computed form = 76 meV/atom
N(E_F) = 0.8433 states/eV per atom
Calculated formation energy = -4.38 eV/f.u.

abc: 4.4661 8.6976 10.7217
angles: 66.96 77.98 75.12
Fractional positions:
Nd (0.7982, 0.8174, 0.5861)
Nd (0.2018, 0.1826, 0.4139)
Nd (0.3319, 0.3026, 0.0336)
Nd (0.0490, 0.1051, 0.7969)
Nd (0.9510, 0.8949, 0.2031)
Nd (0.6681, 0.6974, 0.9664)
Pt (0.8601, 0.4343, 0.8455)
Pt (0.6215, 0.1574, 0.5996)
Pt (0.1399, 0.5657, 0.1545)
Pt (0.3785, 0.8426, 0.4004)
Ca (0.4312, 0.4746, 0.6629)
Ca (0.5688, 0.5254, 0.3371)

Material: CaNd2Pt
Method: DFT, PBE-GGA
State: relaxed

Offset from the most stable computed form = 70 meV/atom
N(E_F) = 1.0865 states/eV per atom
Calculated formation energy = -2.01 eV/f.u.

abc: 4.2158 4.2158 9.6812
angles: 77.42 77.42 60.00
Fractional positions:
Pt (0.6661, 0.6661, 0.0018)
Nd (0.2779, 0.2779, 0.1664)
Nd (0.0547, 0.0547, 0.8359)
Ca (0.5014, 0.5014, 0.4959)

Material: Ca3Nd2Pt2
Method: DFT, PBE-GGA
State: relaxed

N(E_F) = 1.0920 states/eV per atom
Calculated formation energy = -4.62 eV/f.u.

abc: 4.0701 6.7823 8.9101
angles: 106.83 103.20 107.46
Fractional positions:
Pt (0.0134, 0.8323, 0.1944)
Pt (0.9866, 0.1677, 0.8056)
Nd (0.6527, 0.4857, 0.8197)
Nd (0.3473, 0.5143, 0.1803)
Ca (0.8022, 0.1751, 0.4292)
Ca (0.5000, 0.0000, 0.0000)
Ca (0.1978, 0.8249, 0.5708)

Material: Ca2NdPt3
Method: DFT, PBE-GGA
State: relaxed

N(E_F) = 0.3817 states/eV per atom
Calculated formation energy = -5.83 eV/f.u.

abc: 5.0009 7.9116 7.0776
angles: 90.00 90.00 71.58
Fractional positions:
Nd (0.6625, 0.6750, 0.0000)
Nd (0.3375, 0.3250, 0.0000)
Pt (0.5000, 0.0000, 0.2526)
Pt (0.5000, 0.0000, 0.7474)
Pt (0.8301, 0.3398, 0.7561)
Pt (0.8301, 0.3398, 0.2439)
Pt (0.1699, 0.6602, 0.7561)
Pt (0.1699, 0.6602, 0.2439)
Ca (0.0000, 0.0000, 0.5000)
Ca (0.0000, 0.0000, 0.0000)
Ca (0.3333, 0.3335, 0.5000)
Ca (0.6667, 0.6665, 0.5000)

Material: CaNd3Pt8
Method: DFT, PBE-GGA
State: relaxed

N(E_F) = 0.7004 states/eV per atom
Calculated formation energy = -12.51 eV/f.u.

abc: 5.5023 5.5023 9.5319
angles: 73.22 73.22 60.00
Fractional positions:
Pt (0.4370, 0.9375, 0.6881)
Pt (0.9391, 0.4369, 0.1871)
Pt (0.1877, 0.1877, 0.4368)
Pt (0.6875, 0.6875, 0.9375)
Pt (0.9375, 0.4370, 0.6881)
Pt (0.4369, 0.9391, 0.1871)
Pt (0.4369, 0.4369, 0.1871)
Pt (0.9375, 0.9375, 0.6881)
Nd (0.9974, 0.9974, 0.0079)
Nd (0.5026, 0.5026, 0.4921)
Nd (0.3763, 0.3763, 0.8710)
Ca (0.8737, 0.8737, 0.3790)